Density functional theory data (PBE) for an optimized crystal structure of InNi2W.

CIF file:
```
data_InNi2W
_cell_length_a 4.441
_cell_length_b 4.441
_cell_length_c 5.180
_cell_angle_alpha 82.29
_cell_angle_beta 82.29
_cell_angle_gamma 36.70
_symmetry_space_group_name_H-M 'P 1'
_symmetry_Int_Tables_number 1
loop_
_symmetry_equiv_pos_as_xyz
'x,y,z'
loop_
_atom_site_label
_atom_site_fract_x
_atom_site_fract_y
_atom_site_fract_z
In1 0.750 0.750 0.750
Ni1 0.502 0.502 0.457
Ni2 0.998 0.998 0.043
W1 0.250 0.250 0.250
```

Computed properties:
VASP energy: -26.4 eV/cell
calculated volume: 15.11 Å³/atom
magnetic moment: 0.0 Bohr magnetons per cell
crystal system: monoclinic
calculated formation energy: 225 meV per atom

---

Density functional theory data (PBE) for an optimized crystal structure of Y2MnSe.

CIF file:
```
data_Y2MnSe
_cell_length_a 5.403
_cell_length_b 5.403
_cell_length_c 5.403
_cell_angle_alpha 134.40
_cell_angle_beta 119.10
_cell_angle_gamma 79.28
_symmetry_space_group_name_H-M 'P 1'
_symmetry_Int_Tables_number 1
loop_
_symmetry_equiv_pos_as_xyz
'x,y,z'
loop_
_atom_site_label
_atom_site_fract_x
_atom_site_fract_y
_atom_site_fract_z
Y1 0.493 0.493 0.000
Y2 0.007 0.007 0.000
Mn1 0.750 0.250 0.500
Se1 0.250 0.750 0.500
```

Computed properties:
VASP energy: -26.9 eV/cell
calculated volume: 23.86 Å³/atom
magnetic moment: 2.9 Bohr magnetons per cell
formation energy (no corrections): -325 meV per atom
crystal system: orthorhombic